Computed, not measured: a relaxed Ce3In2Se6 crystal at the PBE level of DFT.

abc: 7.437 7.434 8.002
angles: 81.12 72.03 59.99
Site moments in Bohr magnetons follow the coordinates.
Positions (direct):
Ce: 0.000 0.000 0.000  0.70
Ce: 0.334 0.331 0.000  0.69
Ce: 0.666 0.669 0.000  0.69
In: 0.167 0.666 0.500  -0.01
In: 0.833 0.334 0.500  -0.01
Se: 0.402 0.663 0.792  -0.02
Se: 0.740 0.000 0.791  -0.02
Se: 0.065 0.337 0.792  -0.02
Se: 0.260 0.000 0.209  -0.02
Se: 0.598 0.337 0.208  -0.02
Se: 0.935 0.663 0.208  -0.02

## Properties
- Space group: No. 12
- Uncorrected formation energy: -1.36 eV per atom

Computed, not measured: a relaxed CaMn2Pt crystal at the PBE level of DFT.

abc: 4.040 4.040 10.143
angles: 78.51 78.51 90.00
Site moments in Bohr magnetons follow the coordinates.
Positions (direct):
Ca: 0.500 0.500 0.000  -0.01
Ca: 0.250 0.750 0.500  -0.01
Mn: 0.665 0.125 0.250  3.73
Mn: 0.085 0.625 0.250  3.73
Mn: 0.375 0.335 0.750  3.73
Mn: 0.875 0.915 0.750  3.73
Pt: 0.000 0.000 0.000  0.17
Pt: 0.750 0.250 0.500  0.17

## Properties
- Space group: No. 122
- Formation energy from the elements: 1.00 eV/f.u.

Computed, not measured: a relaxed MnTl3Pd crystal at the PBE level of DFT.

abc: 5.313 5.313 5.313
angles: 90.00 90.00 90.00
Site moments in Bohr magnetons follow the coordinates.
Positions (direct):
Tl: 0.000 0.500 0.000  -0.02
Tl: 0.000 0.000 0.500  -0.01
Tl: 0.500 0.000 0.000  -0.02
Mn: 0.500 0.500 0.500  4.34
Pd: 0.000 0.000 0.000  -0.05

## Properties
- Space group: No. 221
- Formation energy from the elements: 2.39 eV/f.u.
- Energy above the most stable polymorph in this dataset: 0 meV per atom

Computed, not measured: a relaxed Ba3YHf2O9 crystal at the PBE level of DFT.

abc: 6.064 6.064 7.445
angles: 90.00 90.00 120.00
Site moments in Bohr magnetons follow the coordinates.
Positions (direct):
Ba: 0.333 0.667 0.666  0.00
Ba: 0.000 0.000 0.000  0.00
Ba: 0.667 0.333 0.334  0.00
Y: 0.000 0.000 0.500  -0.01
Hf: 0.333 0.667 0.162  -0.01
Hf: 0.667 0.333 0.838  -0.01
O: 0.827 0.173 0.678  0.05
O: 0.827 0.654 0.678  0.05
O: 0.346 0.173 0.678  0.05
O: 0.654 0.827 0.322  0.05
O: 0.173 0.346 0.322  0.05
O: 0.173 0.827 0.322  0.05
O: 0.500 0.000 0.000  0.04
O: 0.000 0.500 0.000  0.04
O: 0.500 0.500 0.000  0.04

## Properties
- Space group: No. 164
- Uncorrected formation energy: -3.15 eV per atom

Computed, not measured: a relaxed Ga2Pd5Au2 crystal at the PBE level of DFT.

abc: 7.787 5.697 8.401
angles: 109.82 117.61 90.00
Positions (direct):
Ga: 0.125 0.724 0.199
Ga: 0.875 0.525 0.801
Ga: 0.574 0.224 0.199
Ga: 0.426 0.025 0.801
Pd: 0.194 0.719 0.838
Pd: 0.806 0.881 0.162
Pd: 0.144 0.219 0.838
Pd: 0.856 0.381 0.162
Pd: 0.458 0.915 0.292
Pd: 0.542 0.623 0.708
Pd: 0.334 0.415 0.292
Pd: 0.666 0.123 0.708
Pd: 0.142 0.724 0.500
Pd: 0.858 0.224 0.500
Au: 0.000 0.012 0.000
Au: 0.500 0.512 0.000
Au: 0.220 0.214 0.500
Au: 0.780 0.714 0.500

## Properties
- Space group: No. 46
- Formation energy from the elements: -1.73 eV/f.u.

Computed, not measured: a relaxed ScInCl2 crystal at the PBE level of DFT.

abc: 3.423 5.800 4.553
angles: 90.00 90.00 90.00
Positions (direct):
Sc: 0.000 0.500 0.500
Cl: 0.000 0.000 0.000
Cl: 0.500 0.500 0.000
In: 0.500 0.000 0.500

## Properties
- Space group: No. 47
- Uncorrected formation energy: -0.84 eV per atom
- Energy above the most stable polymorph in this dataset: 435 meV per atom

Computed, not measured: a relaxed Al3Te2 crystal at the PBE level of DFT.

abc: 9.081 7.985 6.111
angles: 79.00 59.67 41.34
Positions (direct):
Al: 0.468 0.768 0.558
Al: 0.206 0.558 0.768
Al: 0.482 0.782 0.044
Al: 0.692 0.044 0.782
Al: 0.992 0.008 0.008
Al: 0.242 0.258 0.258
Te: 0.884 0.212 0.453
Te: 0.451 0.453 0.212
Te: 0.038 0.366 0.799
Te: 0.797 0.799 0.366

## Properties
- Space group: No. 43
- Uncorrected formation energy: -0.02 eV per atom

Computed, not measured: a relaxed ZrOsW crystal at the PBE level of DFT.

abc: 7.171 6.971 2.845
angles: 82.37 74.47 23.16
Positions (direct):
Os: 0.995 0.995 0.005
W: 0.341 0.341 0.659
Zr: 0.664 0.664 0.336

## Properties
- Space group: No. 42
- Formation energy from the elements: 0.44 eV/f.u.
- Energy above the most stable polymorph in this dataset: 253 meV per atom

These records have uncorrected energy values of -0.39510; -0.46642; -0.28031; -0.60788; -0.32916; -0.29595; -0.25869; -0.79101 Ry per atom, in the order they appear.